Entry 1:
Compound: YZr2TiH
Source: Alexandria via LeMat-Bulk
Functional: PBE
Structure: relaxed

Values from the calculation:
Size of the total moment (μB/cell): 0.17
E (eV/cell): -34.76
Offset from the most stable computed form (kJ/mol of atoms): 0.0

Cell lengths 4.5033, 4.5033, 4.7107 Å; angles 90.00, 90.00, 90.00 degrees
Last column: nearest neighbours and their distance in Å.
Element x y z (fractional)
1 Zr 0.5000 0.0000 0.0000  2 H 2.25
2 Zr 0.0000 0.5000 0.0000  2 H 2.25
3 Ti 0.5000 0.5000 0.5000  4 Y 3.18, 8 Zr 3.26
4 Y 0.0000 0.0000 0.5000  2 H 2.36
5 H 0.0000 0.0000 0.0000  4 Zr 2.25, 2 Y 2.36

***

Entry 2:
Compound: ZnC3
Source: Alexandria via LeMat-Bulk
Functional: PBE
Structure: relaxed

Values from the calculation:
Size of the total moment (μB/cell): 0.00
Formation enthalpy at 0 K (eV per atom): 0.78
E (eV/cell): -25.84
Offset from the most stable computed form (kJ/mol of atoms): 31.2

Cell lengths 3.7154, 3.7154, 6.2305 Å; angles 89.39, 89.39, 38.57 degrees
Last column: nearest neighbours and their distance in Å.
Element x y z (fractional)
1 C 0.5000 0.5000 0.5000  2 C 1.37
2 C 0.6952 0.6952 0.5000  3 C 1.37-1.45
3 C 0.3048 0.3048 0.5000  3 C 1.37-1.45
4 Zn 0.0000 0.0000 0.0000  2 Zn 2.45

***

Entry 3:
Compound: LiHo2NbN4
Source: Alexandria via LeMat-Bulk
Functional: PBE
Structure: relaxed

Values from the calculation:
Size of the total moment (μB/cell): 0.00
E (eV/cell): -64.95
ΔE_f (raw) (eV per atom): -1.31

Cell lengths 4.7238, 4.7238, 5.8036 Å; angles 114.10, 114.10, 89.81 degrees
Last column: nearest neighbours and their distance in Å.
Element x y z (fractional)
1 Li 0.4439 0.4439 0.0000  4 N 2.33-2.41
2 Nb 0.8910 0.8910 0.0000  4 N 1.96-2.11
3 Ho 0.1837 0.6837 0.5000  6 N 2.35-2.41
4 Ho 0.6837 0.1837 0.5000  6 N 2.35-2.41
5 N 0.7206 0.7206 0.5607  1 Nb 2.11, 2 Ho 2.35
6 N 0.9352 0.4793 0.0000  1 Nb 1.96
7 N 0.1599 0.1599 0.4393  1 Nb 2.11, 2 Ho 2.35
8 N 0.4793 0.9352 0.0000  1 Nb 1.96